1.
Here is Al5Fe4Rh after structural relaxation from the Alexandria database. Energies are from PBE.

abc: 2.9059 2.9059 14.4307
angles: 90.00 90.00 90.00
Sites, in units of the cell vectors:
Al (0.5000, 0.5000, 0.1089)
Al (0.5000, 0.5000, 0.3029)
Al (0.5000, 0.5000, 0.5000)
Al (0.5000, 0.5000, 0.6971)
Al (0.5000, 0.5000, 0.8911)
Fe (0.0000, 0.0000, 0.2064)
Fe (0.0000, 0.0000, 0.4015)
Fe (0.0000, 0.0000, 0.5985)
Fe (0.0000, 0.0000, 0.7936)
Rh (0.0000, 0.0000, 0.0000)

The space group is No. 123. Its energy of formation is -0.483 eV/atom. For the total energy, the calculation gives -64.7 eV per cell.



2.
Here is Al6Fe5Rh after structural relaxation from the Alexandria database. Energies are from PBE.

abc: 4.0851 5.8420 6.4628
angles: 90.00 71.58 90.00
Sites, in units of the cell vectors:
Rh (0.0000, 0.0000, 0.0000)
Al (0.8333, 0.7385, 0.3334)
Al (0.8333, 0.2615, 0.3334)
Al (0.5000, 0.2607, 0.0000)
Al (0.5000, 0.7393, 0.0000)
Al (0.1667, 0.7385, 0.6666)
Al (0.1667, 0.2615, 0.6666)
Fe (0.6671, 0.5000, 0.6659)
Fe (0.3259, 0.0000, 0.3481)
Fe (0.0000, 0.5000, 0.0000)
Fe (0.6741, 0.0000, 0.6519)
Fe (0.3329, 0.5000, 0.3341)

The space group is No. 65. Its energy of formation is -0.452 eV/atom. For the total energy, the calculation gives -77.5 eV per cell.



3.
Here is AlFe2Rh after structural relaxation from the Alexandria database. Energies are from PBE.

abc: 2.6929 2.6929 7.0280
angles: 90.00 90.00 90.00
Sites, in units of the cell vectors:
Rh (0.5000, 0.5000, 0.2500)
Fe (0.0000, 0.0000, 0.9938)
Fe (0.0000, 0.0000, 0.5062)
Al (0.5000, 0.5000, 0.7500)

The space group is No. 123. Its energy of formation is -0.165 eV/atom. For the total energy, the calculation gives -28.7 eV per cell.



4.
Here is AlFe2Rh after structural relaxation from the Alexandria database. Energies are from PBE.

abc: 4.7797 4.7797 4.2326
angles: 65.83 65.83 36.27
Sites, in units of the cell vectors:
Rh (0.5015, 0.5015, 0.5058)
Fe (0.9911, 0.9911, 0.0168)
Fe (0.2614, 0.2614, 0.2303)
Al (0.7459, 0.7459, 0.7471)

The space group is No. 8. Its energy of formation is -0.271 eV/atom. For the total energy, the calculation gives -29.1 eV per cell.



5.
Here is AlFe2Rh after structural relaxation from the Alexandria database. Energies are from PBE.

abc: 3.7862 2.6787 5.7765
angles: 62.06 90.00 90.00
Sites, in units of the cell vectors:
Rh (0.5000, 0.2500, 0.2500)
Fe (0.0000, 0.0071, 0.9933)
Fe (0.0000, 0.4929, 0.5067)
Al (0.5000, 0.7500, 0.7500)

The space group is No. 10. Its energy of formation is -0.230 eV/atom. For the total energy, the calculation gives -28.9 eV per cell.



6.
Here is AlFe2Rh4 after structural relaxation from the Alexandria database. Energies are from PBE.

abc: 5.1029 5.1029 5.1029
angles: 109.47 109.47 109.47
Sites, in units of the cell vectors:
Rh (0.5000, 0.0000, 0.0000)
Rh (0.5000, 0.5000, 0.5000)
Rh (0.0000, 0.0000, 0.5000)
Rh (0.0000, 0.5000, 0.0000)
Al (0.0000, 0.0000, 0.0000)
Fe (0.5000, 0.5000, 0.0000)
Fe (0.5000, 0.0000, 0.5000)

The space group is No. 139. Its energy of formation is -0.125 eV/atom. For the total energy, the calculation gives -50.9 eV per cell.



7.
Here is Al8Fe2Rh after structural relaxation from the Alexandria database. Energies are from PBE.

abc: 4.5254 5.2275 8.2412
angles: 108.44 118.32 90.02
Sites, in units of the cell vectors:
Al (0.6353, 0.2805, 0.9088)
Al (0.0082, 0.9702, 0.5495)
Al (0.2648, 0.3305, 0.2688)
Al (0.6808, 0.9779, 0.1394)
Al (0.2901, 0.8341, 0.3052)
Al (0.9835, 0.4372, 0.5129)
Al (0.1360, 0.5599, 0.9094)
Al (0.5926, 0.7472, 0.6781)
Fe (0.6931, 0.5575, 0.2184)
Fe (0.5800, 0.2477, 0.5998)
Rh (0.1358, 0.0572, 0.9096)

The space group is No. 1. Its energy of formation is -0.351 eV/atom. For the total energy, the calculation gives -58.1 eV per cell.



8.
Here is Al2FeRh2 after structural relaxation from the Alexandria database. Energies are from PBE.

abc: 7.0194 7.0194 2.8732
angles: 90.00 90.00 90.00
Sites, in units of the cell vectors:
Rh (0.3563, 0.8563, 0.0000)
Rh (0.8563, 0.6437, 0.0000)
Rh (0.6437, 0.1437, 0.0000)
Rh (0.1437, 0.3563, 0.0000)
Fe (0.0000, 0.0000, 0.0000)
Fe (0.5000, 0.5000, 0.0000)
Al (0.1556, 0.6556, 0.5000)
Al (0.6556, 0.8444, 0.5000)
Al (0.8444, 0.3444, 0.5000)
Al (0.3444, 0.1556, 0.5000)

The distance to the lowest polymorph of the same formula is 62 meV per atom. The space group is No. 127. Its energy of formation is -0.311 eV/atom. For the total energy, the calculation gives -64.4 eV per cell.



9.
Here is Al2FeRh3 after structural relaxation from the Alexandria database. Energies are from PBE.

abc: 2.9833 2.9833 9.1270
angles: 90.00 90.00 90.00
Sites, in units of the cell vectors:
Al (0.5000, 0.5000, 0.8325)
Al (0.5000, 0.5000, 0.1675)
Fe (0.5000, 0.5000, 0.5000)
Rh (0.0000, 0.0000, 0.0000)
Rh (0.0000, 0.0000, 0.6716)
Rh (0.0000, 0.0000, 0.3284)

The space group is No. 123. Its energy of formation is -0.755 eV/atom. For the total energy, the calculation gives -42.5 eV per cell.



10.
Here is AlFe2Rh after structural relaxation from the Alexandria database. Energies are from PBE.

abc: 6.8323 6.8323 5.4287
angles: 51.00 51.00 90.00
Sites, in units of the cell vectors:
Rh (0.0000, 0.0000, 0.0000)
Rh (0.7500, 0.2500, 0.5000)
Fe (0.6321, 0.1250, 0.2500)
Fe (0.1179, 0.6250, 0.2500)
Fe (0.3750, 0.3679, 0.7500)
Fe (0.8750, 0.8821, 0.7500)
Al (0.5000, 0.5000, 0.0000)
Al (0.2500, 0.7500, 0.5000)

The space group is No. 122. Its energy of formation is 0.211 eV/atom. For the total energy, the calculation gives -54.3 eV per cell.



11.
Here is AlFe2Rh after structural relaxation from the Alexandria database. Energies are from PBE.

abc: 2.9496 4.0687 5.8890
angles: 46.39 90.00 90.00
Sites, in units of the cell vectors:
Rh (0.5000, 0.5000, 0.5000)
Fe (0.0000, 0.0000, 0.0000)
Fe (0.5000, 0.5000, 0.0000)
Al (0.0000, 0.0000, 0.5000)

The space group is No. 10. Its energy of formation is -0.375 eV/atom. For the total energy, the calculation gives -29.5 eV per cell.



12.
Here is AlFe2Rh after structural relaxation from the Alexandria database. Energies are from PBE.

abc: 8.0813 8.0813 8.0813
angles: 19.80 19.80 19.80
Sites, in units of the cell vectors:
Rh (0.4997, 0.4997, 0.4997)
Fe (0.9972, 0.9972, 0.9972)
Fe (0.2542, 0.2542, 0.2542)
Al (0.7487, 0.7487, 0.7487)

The space group is No. 160. Its energy of formation is -0.123 eV/atom. For the total energy, the calculation gives -28.5 eV per cell.



13.
Here is AlFe2Rh after structural relaxation from the Alexandria database. Energies are from PBE.

abc: 5.0007 5.0007 4.0829
angles: 65.86 65.86 33.89
Sites, in units of the cell vectors:
Rh (0.7500, 0.7500, 0.7500)
Fe (0.9996, 0.9996, 0.0005)
Fe (0.5004, 0.5004, 0.4995)
Al (0.2500, 0.2500, 0.2500)

The space group is No. 71. Its energy of formation is -0.358 eV/atom. For the total energy, the calculation gives -29.4 eV per cell.



14.
Here is AlFeRh3 after structural relaxation from the Alexandria database. Energies are from PBE.

abc: 4.3914 4.3914 4.3914
angles: 90.00 90.00 90.00
Sites, in units of the cell vectors:
Rh (0.0000, 0.5000, 0.0000)
Rh (0.0000, 0.0000, 0.5000)
Rh (0.5000, 0.0000, 0.0000)
Fe (0.5000, 0.5000, 0.5000)
Al (0.0000, 0.0000, 0.0000)

The distance to the lowest polymorph of the same formula is 218 meV per atom. The space group is No. 221. Its energy of formation is 1.044 eV/atom. For the total energy, the calculation gives -29.0 eV per cell.



15.
Here is AlFe2Rh5 after structural relaxation from the Alexandria database. Energies are from PBE.

abc: 3.9981 5.2919 10.4115
angles: 90.00 90.00 90.00
Sites, in units of the cell vectors:
Al (0.0000, 0.0000, 0.5000)
Al (0.0000, 0.5000, 0.0000)
Fe (0.5000, 0.3194, 0.3633)
Fe (0.5000, 0.6806, 0.6367)
Fe (0.5000, 0.1806, 0.8633)
Fe (0.5000, 0.8194, 0.1367)
Rh (0.5000, 0.3122, 0.1110)
Rh (0.5000, 0.6878, 0.8890)
Rh (0.5000, 0.8122, 0.3890)
Rh (0.5000, 0.1878, 0.6110)
Rh (0.0000, 0.9177, 0.7435)
Rh (0.0000, 0.0823, 0.2565)
Rh (0.0000, 0.4177, 0.7565)
Rh (0.0000, 0.5823, 0.2435)
Rh (0.0000, 0.5000, 0.5000)
Rh (0.0000, 0.0000, 0.0000)

The space group is No. 55. Its energy of formation is -0.282 eV/atom. For the total energy, the calculation gives -119.4 eV per cell.



16.
Here is Al2FeSbRh after structural relaxation from the Alexandria database. Energies are from PBE.

abc: 4.5276 4.5340 4.5276
angles: 90.00 90.00 90.00
Sites, in units of the cell vectors:
Sb (0.5000, 0.5000, 0.5000)
Rh (0.0000, 0.5000, 0.0000)
Fe (0.0000, 0.0000, 0.0000)
Al (0.0000, 0.0000, 0.5000)
Al (0.5000, 0.0000, 0.0000)

The space group is No. 123. For the total energy, the calculation gives -25.7 eV per cell. The uncorrected formation energy comes out at 342 meV/atom.



17.
Here is Sr2AlFeRh after structural relaxation from the Alexandria database. Energies are from PBE.

abc: 5.6975 4.4051 5.6975
angles: 90.00 90.00 90.00
Sites, in units of the cell vectors:
Sr (0.0000, 0.0000, 0.5000)
Sr (0.5000, 0.0000, 0.0000)
Rh (0.0000, 0.5000, 0.0000)
Fe (0.0000, 0.0000, 0.0000)
Al (0.5000, 0.5000, 0.5000)

The space group is No. 123. Its energy of formation is 0.488 eV/atom. For the total energy, the calculation gives -20.5 eV per cell.



18.
Here is Ti3Al3FeRh2 after structural relaxation from the Alexandria database. Energies are from PBE.

abc: 2.9756 7.1777 7.1777
angles: 120.00 90.00 90.00
Sites, in units of the cell vectors:
Ti (0.5000, 0.7358, 0.0000)
Ti (0.5000, 0.0000, 0.7358)
Ti (0.5000, 0.2642, 0.2642)
Al (0.0000, 0.6176, 0.6176)
Al (0.0000, 0.0000, 0.3824)
Al (0.0000, 0.3824, 0.0000)
Fe (0.0000, 0.0000, 0.0000)
Rh (0.5000, 0.6667, 0.3333)
Rh (0.5000, 0.3333, 0.6667)

The space group is No. 189. Its energy of formation is -0.670 eV/atom. For the total energy, the calculation gives -64.1 eV per cell.



19.
Here is Al2FeRu after structural relaxation from the Alexandria database. Energies are from PBE.

abc: 8.2974 8.2974 8.2974
angles: 19.40 19.40 19.40
Sites, in units of the cell vectors:
Ru (0.7500, 0.7500, 0.7500)
Fe (0.2500, 0.2500, 0.2500)
Al (0.9999, 0.9999, 0.9999)
Al (0.5001, 0.5001, 0.5001)

The space group is No. 166. Its energy of formation is -0.235 eV/atom. For the total energy, the calculation gives -26.2 eV per cell.



20.
Here is AlFeRu after structural relaxation from the Alexandria database. Energies are from PBE.

abc: 3.9428 3.9428 3.9428
angles: 60.00 60.00 60.00
Sites, in units of the cell vectors:
Ru (0.0000, 0.0000, 0.0000)
Fe (0.7500, 0.7500, 0.7500)
Al (0.5000, 0.5000, 0.5000)

The space group is No. 216. Its energy of formation is 0.012 eV/atom. For the total energy, the calculation gives -21.4 eV per cell.